Record 1
TcAu | GGA-PBE | relaxed

The structure in POSCAR format:
```
TcAu
1.0
2.802 0.000 0.000
-1.401 2.426 0.000
0.000 0.000 4.744
Tc Au
1 1
direct
0.000 0.000 0.000
0.667 0.333 0.500
```

**Crystal system**: hexagonal
**Symmetry**: No. 187
**Spin magnetization**: 0.00 μB per cell
**Calculated formation energy**: 0.4443 eV per atom

---

Record 2
LiMn3 | GGA-PBE | relaxed

The structure in POSCAR format:
```
LiMn3
1.0
3.516 0.000 0.000
0.000 3.516 0.000
0.000 0.000 3.516
Li Mn
1 3
direct
0.000 0.000 0.000
0.000 0.500 0.500
0.500 0.000 0.500
0.500 0.500 0.000
```

**Crystal system**: cubic
**Symmetry**: No. 221
**Spin magnetization**: 2.82 μB per cell
**Calculated formation energy**: 0.4540 eV per atom

---

Record 3
KTcHg2 | GGA-PBE | relaxed

The structure in POSCAR format:
```
KTcHg2
1.0
3.825 0.000 0.000
0.000 3.825 0.000
0.000 0.000 7.870
K Tc Hg
1 1 2
direct
0.000 0.000 0.000
0.500 0.500 0.358
0.000 0.000 0.419
0.500 0.500 0.712
```

**Crystal system**: tetragonal
**Symmetry**: No. 99
**Spin magnetization**: 1.92 μB per cell
**Calculated formation energy**: 0.6437 eV per atom